Hg2AuCl6: optimized geometry, PBE-GGA.

Summary:
**Polymorph energy (0 for the lowest one)**: 0.0 kJ/mol of atoms
**DOS(E_F)**: 1.06 states/eV/cell
**Volume**: 586.8 Å³/cell

Lattice parameters (Å, degrees): 7.179 11.369 8.401 90.00 121.15 90.00
Space group P2_1/c (No. 14)
Symmetry-distinct sites (fractional):
Hg1 0.056 0.163 0.065 (multiplicity 4)
Au1 0.000 0.000 0.500 (multiplicity 2)
Cl1 0.179 0.678 0.948 (multiplicity 4)
Cl2 0.240 0.130 0.468 (multiplicity 4)
Cl3 0.277 0.020 0.034 (multiplicity 4)